# 1
Ca2In8Hg after structural relaxation, computed with PBE.

V in Å³ per cell: 299.55
Magnetization in Bohr magnetons per cell: 0.00
Density of states at the Fermi level in states/eV per cell: 5.108
Uncorrected energy in eV per cell: -28.4

CIF file:
```
data_Ca2In8Hg
_chemical_formula_sum 'Ca2 In8 Hg1'
_cell_length_a 4.929
_cell_length_b 4.929
_cell_length_c 12.331
_cell_angle_alpha 90.00
_cell_angle_beta 90.00
_cell_angle_gamma 90.00
_space_group_name_H-M_alt 'P 4/m m m'
_space_group_IT_number 123
_space_group_name_Hall '-P 4 2'
loop_
_atom_site_label
_atom_site_type_symbol
_atom_site_fract_x
_atom_site_fract_y
_atom_site_fract_z
Ca1 Ca 0.000 0.000 0.182
In1 In 0.000 0.500 0.000
In2 In 0.000 0.500 0.360
In3 In 0.500 0.500 0.190
Hg1 Hg 0.000 0.000 0.500
```


# 2
VHg3Ir after structural relaxation, computed with PBE.

Energy above the lowest structure with this stoichiometry in meV per atom: 0
V in Å³ per cell: 139.49
Magnetization in Bohr magnetons per cell: 4.26
Density of states at the Fermi level in states/eV per cell: 7.432

CIF file:
```
data_VHg3Ir
_chemical_formula_sum 'V1 Hg3 Ir1'
_cell_length_a 5.186
_cell_length_b 5.186
_cell_length_c 5.186
_cell_angle_alpha 90.00
_cell_angle_beta 90.00
_cell_angle_gamma 90.00
_space_group_name_H-M_alt 'P m -3 m'
_space_group_IT_number 221
_space_group_name_Hall '-P 4 2 3'
loop_
_atom_site_label
_atom_site_type_symbol
_atom_site_fract_x
_atom_site_fract_y
_atom_site_fract_z
V1 V 0.000 0.000 0.000
Hg1 Hg 0.000 0.500 0.500
Ir1 Ir 0.500 0.500 0.500
```